Record 1
Density functional theory data (PBE) for an optimized crystal structure of Tm2Cu3Ag.

```
data_Tm2Cu3Ag
_cell_length_a 6.926
_cell_length_b 8.677
_cell_length_c 15.090
_cell_angle_alpha 90.00
_cell_angle_beta 90.00
_cell_angle_gamma 90.00
_space_group_name_H-M_alt 'F m m m'
_space_group_IT_number 69
_space_group_name_Hall '-F 2 2'
loop_
_atom_site_label
_atom_site_fract_x
_atom_site_fract_y
_atom_site_fract_z
_atom_site_occupancy
Tm1 0.247 0.000 0.000 1
Tm2 0.250 0.250 0.250 1
Cu1 0.000 0.000 0.162 1
Cu2 0.000 0.242 0.081 1
Ag1 0.000 0.000 0.334 1
```

Its density of states at the Fermi level is 30.78 states/eV per cell. The energy of formation from the pure elements is -22.9 kJ per mole of atoms.


Record 2
Density functional theory data (PBE) for an optimized crystal structure of SmEr3Tl4Te8.

```
data_SmEr3Tl4Te8
_cell_length_a 8.8993
_cell_length_b 8.8993
_cell_length_c 24.5598
_cell_angle_alpha 90.00
_cell_angle_beta 90.00
_cell_angle_gamma 120.00
_space_group_name_H-M_alt 'R -3 m'
_space_group_IT_number 166
_space_group_name_Hall '-R 3 2"'
loop_
_atom_site_label
_atom_site_fract_x
_atom_site_fract_y
_atom_site_fract_z
_atom_site_occupancy
Sm1 0.0000 0.0000 0.0000 1
Er1 0.0000 0.5000 0.0000 1
Tl1 0.0000 0.0000 0.5000 1
Tl2 0.0000 0.5000 0.5000 1
Te1 0.0000 0.0000 0.2632 1
Te2 0.0060 0.5030 0.2621 1
```

Its uncorrected formation energy is -16.7 eV per formula unit.


Record 3
Density functional theory data (PBE) for an optimized crystal structure of CaNiCl2.

```
data_CaNiCl2
_cell_length_a 3.860
_cell_length_b 3.860
_cell_length_c 5.617
_cell_angle_alpha 90.00
_cell_angle_beta 90.00
_cell_angle_gamma 90.00
_space_group_name_H-M_alt 'P 4 m m'
_space_group_IT_number 99
_space_group_name_Hall 'P 4 -2'
loop_
_atom_site_label
_atom_site_fract_x
_atom_site_fract_y
_atom_site_fract_z
_atom_site_occupancy
Ca1 0.000 0.000 0.000 1
Ni1 0.500 0.500 0.743 1
Cl1 0.000 0.000 0.526 1
Cl2 0.500 0.500 0.116 1
```

Its density of states at the Fermi level is 0.91 states/eV per cell. The value obtained for the polymorph energy (0 for the lowest one) is 220 meV per atom. Its uncorrected formation energy is -3.8 eV per formula unit.


Record 4
Density functional theory data (PBE) for an optimized crystal structure of AgH4Cl.

```
data_AgH4Cl
_cell_length_a 4.687
_cell_length_b 18.420
_cell_length_c 4.949
_cell_angle_alpha 90.00
_cell_angle_beta 90.00
_cell_angle_gamma 90.00
_space_group_name_H-M_alt 'C m c m'
_space_group_IT_number 63
_space_group_name_Hall '-C 2c 2'
loop_
_atom_site_label
_atom_site_fract_x
_atom_site_fract_y
_atom_site_fract_z
_atom_site_occupancy
Ag1 0.000 0.132 0.250 1
H1 0.081 0.041 0.750 1
H2 0.081 0.207 0.750 1
Cl1 0.000 0.392 0.750 1
```

Its density of states at the Fermi level is 0.00 states/eV per cell. The calculated total energy is -18.7 eV per formula unit.


Record 5
Density functional theory data (PBE) for an optimized crystal structure of AlHPd3.

```
data_AlHPd3
_cell_length_a 4.810
_cell_length_b 4.810
_cell_length_c 17.257
_cell_angle_alpha 90.00
_cell_angle_beta 90.00
_cell_angle_gamma 90.00
_space_group_name_H-M_alt 'I -4 m 2'
_space_group_IT_number 119
_space_group_name_Hall 'I -4 -2'
loop_
_atom_site_label
_atom_site_fract_x
_atom_site_fract_y
_atom_site_fract_z
_atom_site_occupancy
Al1 0.000 0.000 0.000 1
Al2 0.000 0.500 0.250 1
H1 0.000 0.500 0.641 1
Pd1 0.000 0.000 0.347 1
Pd2 0.000 0.245 0.127 1
```

Its density of states at the Fermi level is 5.73 states/eV per cell. The value obtained for the polymorph energy (0 for the lowest one) is 1015 meV per atom.


Record 6
Density functional theory data (PBE) for an optimized crystal structure of PmLuTlRu.

```
data_PmLuTlRu
_cell_length_a 7.215
_cell_length_b 7.215
_cell_length_c 7.215
_cell_angle_alpha 90.00
_cell_angle_beta 90.00
_cell_angle_gamma 90.00
_space_group_name_H-M_alt 'F -4 3 m'
_space_group_IT_number 216
_space_group_name_Hall 'F -4 2 3'
loop_
_atom_site_label
_atom_site_fract_x
_atom_site_fract_y
_atom_site_fract_z
_atom_site_occupancy
Pm1 0.000 0.000 0.000 1
Lu1 0.000 0.000 0.500 1
Tl1 0.250 0.250 0.750 1
Ru1 0.250 0.250 0.250 1
```

Its density of states at the Fermi level is 9.20 states/eV per cell. The energy of formation from the pure elements is -20.6 kJ per mole of atoms.